Below is a geometry-optimized MgZnSi2 structure, with properties calculated at the GGA-PBEsol level.

The calculation puts the uncorrected formation energy at 0.148 eV/atom.

It has space group P4/mmm (No. 123), with a = 3.9262 Å, b = 3.9262 Å, c = 4.0744 Å, α = 90.00°, β = 90.00° and γ = 90.00°. The distinct sites, in fractional coordinates, are Mg at (0.0000, 0.0000, 0.0000), Zn at (0.5000, 0.5000, 0.0000) and Si at (0.0000, 0.5000, 0.5000).